A plane-wave DFT calculation with PBE was carried out for a relaxed structure of KCd3.

abc: 10.0955 3.5931 6.8573
angles: 90.00 99.94 90.00
Space group C2/m (No. 12)
One atom of each set of equivalent atoms:
K: 0.0000 0.0000 0.0000 (multiplicity 2)
Cd: 0.0000 0.5000 0.5000 (multiplicity 2)
Cd: 0.2345 0.0000 0.6779 (multiplicity 4)

Summary:
Energy of formation from the pure elements in eV/atom: 0.005